Entry 1:
The following is a DFT calculation (PBE-GGA) of an optimized crystal structure of DyMg3Zn8.

The structure in POSCAR format:
```
DyMg3Zn8
1.0
5.2965 0.0000 0.0000
2.6482 4.5869 0.0000
2.6482 1.5290 8.6284
Dy Mg Zn
1 3 8
direct
0.8759 0.8759 0.3724 Dy
0.3740 0.3740 0.8780 Mg
0.0012 0.0012 0.9963 Mg
0.4967 0.4967 0.5098 Mg
0.9416 0.4383 0.1817 Zn
0.4353 0.9365 0.6916 Zn
0.4383 0.4383 0.1817 Zn
0.9365 0.9365 0.6916 Zn
0.1875 0.1875 0.4375 Zn
0.6880 0.6880 0.9361 Zn
0.4383 0.9416 0.1817 Zn
0.9365 0.4353 0.6916 Zn
```

Output
Symmetry: No. 160
Formation energy from the elements in eV/atom: -0.183
Fermi-level density of states in states/eV per cell: 3.49

=====

Entry 2:
The following is a DFT calculation (PBE-GGA) of an optimized crystal structure of CoTe2SeN.

The structure in POSCAR format:
```
CoTe2SeN
1.0
5.3222 0.0000 0.0000
0.0000 5.3222 0.0000
0.0000 0.0000 3.4254
Te Co Se N
2 1 1 1
direct
0.0000 0.5000 0.0000 Te
0.5000 0.0000 0.0000 Te
0.0000 0.0000 0.0000 Co
0.5000 0.5000 0.5000 Se
0.0000 0.0000 0.5000 N
```

Output
Formation energy without anion corrections in eV per atom: 0.368
Symmetry: No. 123
Fermi-level density of states in states/eV per cell: 3.18

=====

Entry 3:
The following is a DFT calculation (PBE-GGA) of an optimized crystal structure of Pu4Te8Pd3.

The structure in POSCAR format:
```
Pu4Te8Pd3
1.0
-3.2507 0.8271 -2.9603
-0.5044 -4.3939 -0.6738
-12.7665 -0.6560 13.8356
Pu Te Pd
4 8 3
direct
0.5000 0.0000 0.3704 Pu
0.5000 0.0000 0.8785 Pu
0.0000 0.5000 0.1215 Pu
0.0000 0.5000 0.6296 Pu
0.5000 0.0000 0.0786 Te
0.5000 0.0000 0.5887 Te
0.0000 0.5000 0.4113 Te
0.0000 0.5000 0.9214 Te
0.5000 0.5000 0.2438 Te
0.5000 0.5000 0.7562 Te
0.0000 0.0000 0.2427 Te
0.0000 0.0000 0.7573 Te
0.5000 0.5000 0.5000 Pd
0.0000 0.0000 0.0000 Pd
0.0000 0.0000 0.5000 Pd
```

Output
Formation energy without anion corrections in eV per atom: -0.477
Symmetry: No. 115
Fermi-level density of states in states/eV per cell: 40.49

=====

Entry 4:
The following is a DFT calculation (PBE-GGA) of an optimized crystal structure of Li2InGa3.

The structure in POSCAR format:
```
Li2InGa3
1.0
-1.4554 -2.5745 -0.2450
1.2301 -0.2983 -4.1710
7.8781 -3.2030 4.8299
Li In Ga
2 1 3
direct
0.1174 0.1174 0.2348 Li
0.8712 0.3712 0.7424 Li
0.4594 0.9594 0.9188 In
0.6916 0.6916 0.3831 Ga
0.5536 0.5536 0.1071 Ga
0.3069 0.8069 0.6138 Ga
```

Output
Symmetry: No. 44
Formation energy from the elements in eV/atom: -0.091
Fermi-level density of states in states/eV per cell: 2.16

=====

Entry 5:
The following is a DFT calculation (PBE-GGA) of an optimized crystal structure of Li2SmPb.

The structure in POSCAR format:
```
Li2SmPb
1.0
-1.9765 2.9314 -3.4681
-3.1427 -3.1221 -0.8479
-2.6882 1.8623 3.1062
Pb Sm Li
1 1 2
direct
0.5000 0.0000 0.0000 Pb
0.5000 0.5000 0.5000 Sm
0.0000 0.0000 0.5000 Li
0.0000 0.5000 0.0000 Li
```

Output
Symmetry: No. 123
Formation energy from the elements in eV/atom: -0.256
Fermi-level density of states in states/eV per cell: 2.98

=====

Entry 6:
The following is a DFT calculation (PBE-GGA) of an optimized crystal structure of HfTaFe4.

The structure in POSCAR format:
```
HfTaFe4
1.0
-4.5770 1.0872 -1.2888
-3.6357 -3.0599 1.1002
-3.2686 1.2214 3.4082
Hf Fe Ta
1 4 1
direct
0.2500 0.2500 0.2500 Hf
0.6253 0.6253 0.1241 Fe
0.6253 0.1241 0.6253 Fe
0.6253 0.6253 0.6253 Fe
0.1242 0.6253 0.6253 Fe
0.0000 0.0000 0.0000 Ta
```

Output
Symmetry: No. 216
Formation energy from the elements in eV/atom: -0.265
Fermi-level density of states in states/eV per cell: 5.04